No. 1
Computed, not measured: a relaxed ScZn3Ge crystal at the PBE-GGA level of DFT.

```
data_ScZn3Ge
_symmetry_space_group_name_H-M 'P m -3 m'
_symmetry_Int_Tables_number 221
_symmetry_space_group_name_Hall '-P 4 2 3'
_cell_length_a 4.757
_cell_length_b 4.757
_cell_length_c 4.757
_cell_angle_alpha 90.00
_cell_angle_beta 90.00
_cell_angle_gamma 90.00
loop_
_atom_site_label
_atom_site_type_symbol
_atom_site_fract_x
_atom_site_fract_y
_atom_site_fract_z
Sc1 Sc 0.000 0.000 0.000
Zn1 Zn 0.000 0.500 0.500
Ge1 Ge 0.500 0.500 0.500
```

## Properties
* E above lowest polymorph: 0 meV per atom
* mass density: 4.8 Mg/m³
* calculated volume: 21.5 A^3/atom

=====

No. 2
Computed, not measured: a relaxed Sc2Zn2Ge crystal at the PBE-GGA level of DFT.

```
data_Sc2Zn2Ge
_symmetry_space_group_name_H-M 'P 4/m b m'
_symmetry_Int_Tables_number 127
_symmetry_space_group_name_Hall '-P 4 2ab'
_cell_length_a 6.597
_cell_length_b 6.597
_cell_length_c 4.230
_cell_angle_alpha 90.00
_cell_angle_beta 90.00
_cell_angle_gamma 90.00
loop_
_atom_site_label
_atom_site_type_symbol
_atom_site_fract_x
_atom_site_fract_y
_atom_site_fract_z
Sc1 Sc 0.170 0.330 0.000
Zn1 Zn 0.130 0.630 0.500
Ge1 Ge 0.000 0.000 0.500
```

## Properties
* E above lowest polymorph: 0 meV per atom
* mass density: 5.3 Mg/m³
* calculated volume: 18.4 A^3/atom

=====

No. 3
Computed, not measured: a relaxed Sc2Zn2Ge3 crystal at the PBE-GGA level of DFT.

```
data_Sc2Zn2Ge3
_symmetry_space_group_name_H-M 'C 1 2/m 1'
_symmetry_Int_Tables_number 12
_cell_length_a 14.695
_cell_length_b 4.071
_cell_length_c 10.943
_cell_angle_alpha 90.00
_cell_angle_beta 126.94
_cell_angle_gamma 90.00
loop_
_symmetry_equiv_pos_as_xyz
'x,y,z'
'-x,-y,-z'
'-x,y,-z'
'x,-y,z'
'x+1/2,y+1/2,z'
'-x+1/2,-y+1/2,-z'
'-x+1/2,y+1/2,-z'
'x+1/2,-y+1/2,z'
loop_
_atom_site_label
_atom_site_type_symbol
_atom_site_fract_x
_atom_site_fract_y
_atom_site_fract_z
Sc1 Sc 0.074 0.000 0.424
Sc2 Sc 0.234 0.000 0.828
Zn1 Zn 0.048 0.500 0.815
Zn2 Zn 0.097 0.000 0.173
Ge1 Ge 0.097 0.500 0.626
Ge2 Ge 0.127 0.000 0.973
Ge3 Ge 0.183 0.500 0.358
```

## Properties
* mass density: 5.6 Mg/m³
* DFT total energy: -4.607 eV/atom
* calculated volume: 18.7 A^3/atom

=====

No. 4
Computed, not measured: a relaxed ScZn2Ge2 crystal at the PBE-GGA level of DFT.

```
data_ScZn2Ge2
_symmetry_space_group_name_H-M 'I 4/m m m'
_symmetry_Int_Tables_number 139
_symmetry_space_group_name_Hall '-I 4 2'
_cell_length_a 3.901
_cell_length_b 3.901
_cell_length_c 11.859
_cell_angle_alpha 90.00
_cell_angle_beta 90.00
_cell_angle_gamma 90.00
loop_
_atom_site_label
_atom_site_type_symbol
_atom_site_fract_x
_atom_site_fract_y
_atom_site_fract_z
Sc1 Sc 0.000 0.000 0.000
Zn1 Zn 0.000 0.500 0.250
Ge1 Ge 0.000 0.000 0.395
```

## Properties
* E above lowest polymorph: 147 meV per atom
* mass density: 5.9 Mg/m³
* calculated volume: 18.1 A^3/atom

=====

No. 5
Computed, not measured: a relaxed ScZnGe3 crystal at the PBE-GGA level of DFT.

```
data_ScZnGe3
_symmetry_space_group_name_H-M 'P m -3 m'
_symmetry_Int_Tables_number 221
_symmetry_space_group_name_Hall '-P 4 2 3'
_cell_length_a 5.164
_cell_length_b 5.164
_cell_length_c 5.164
_cell_angle_alpha 90.00
_cell_angle_beta 90.00
_cell_angle_gamma 90.00
loop_
_atom_site_label
_atom_site_type_symbol
_atom_site_fract_x
_atom_site_fract_y
_atom_site_fract_z
Sc1 Sc 0.000 0.000 0.000
Zn1 Zn 0.500 0.500 0.500
Ge1 Ge 0.000 0.000 0.500
```

## Properties
* E above lowest polymorph: 220 meV per atom
* mass density: 4.0 Mg/m³
* calculated volume: 27.5 A^3/atom

=====

No. 6
Computed, not measured: a relaxed Sc3ZnGe crystal at the PBE-GGA level of DFT.

```
data_Sc3ZnGe
_symmetry_space_group_name_H-M 'P m -3 m'
_symmetry_Int_Tables_number 221
_symmetry_space_group_name_Hall '-P 4 2 3'
_cell_length_a 5.054
_cell_length_b 5.054
_cell_length_c 5.054
_cell_angle_alpha 90.00
_cell_angle_beta 90.00
_cell_angle_gamma 90.00
loop_
_atom_site_label
_atom_site_type_symbol
_atom_site_fract_x
_atom_site_fract_y
_atom_site_fract_z
Sc1 Sc 0.000 0.000 0.500
Zn1 Zn 0.500 0.500 0.500
Ge1 Ge 0.000 0.000 0.000
```

## Properties
* E above lowest polymorph: 0 meV per atom
* mass density: 3.5 Mg/m³
* calculated volume: 25.8 A^3/atom

=====

No. 7
Computed, not measured: a relaxed Sc2Zn2Ge crystal at the PBE-GGA level of DFT.

```
data_Sc2Zn2Ge
_symmetry_space_group_name_H-M 'P 4/m b m'
_symmetry_Int_Tables_number 127
_symmetry_space_group_name_Hall '-P 4 2ab'
_cell_length_a 7.347
_cell_length_b 7.347
_cell_length_c 3.736
_cell_angle_alpha 90.00
_cell_angle_beta 90.00
_cell_angle_gamma 90.00
loop_
_atom_site_label
_atom_site_type_symbol
_atom_site_fract_x
_atom_site_fract_y
_atom_site_fract_z
Sc1 Sc 0.163 0.337 0.000
Zn1 Zn 0.136 0.636 0.500
Ge1 Ge 0.000 0.000 0.000
```

## Properties
* E above lowest polymorph: 259 meV per atom
* mass density: 4.8 Mg/m³
* calculated volume: 20.2 A^3/atom

=====

No. 8
Computed, not measured: a relaxed Sc6Zn5Ge crystal at the PBE-GGA level of DFT.

```
data_Sc6Zn5Ge
_symmetry_space_group_name_H-M 'P 1 2/m 1'
_symmetry_Int_Tables_number 10
_cell_length_a 4.733
_cell_length_b 6.656
_cell_length_c 7.506
_cell_angle_alpha 90.00
_cell_angle_beta 108.29
_cell_angle_gamma 90.00
loop_
_symmetry_equiv_pos_as_xyz
'x,y,z'
'-x,-y,-z'
'-x,y,-z'
'x,-y,z'
loop_
_atom_site_label
_atom_site_type_symbol
_atom_site_fract_x
_atom_site_fract_y
_atom_site_fract_z
Sc1 Sc 0.000 0.247 0.000
Sc2 Sc 0.334 0.252 0.668
Zn1 Zn 0.167 0.500 0.333
Zn2 Zn 0.176 0.000 0.352
Zn3 Zn 0.500 0.500 0.000
Ge1 Ge 0.500 0.000 0.000
```

## Properties
* mass density: 5.0 Mg/m³
* DFT total energy: -4.529 eV/atom
* calculated volume: 18.7 A^3/atom

=====

No. 9
Computed, not measured: a relaxed ScZn2Ge2 crystal at the PBE-GGA level of DFT.

```
data_ScZn2Ge2
_symmetry_space_group_name_H-M 'P 4/m b m'
_symmetry_Int_Tables_number 127
_symmetry_space_group_name_Hall '-P 4 2ab'
_cell_length_a 7.435
_cell_length_b 7.435
_cell_length_c 3.211
_cell_angle_alpha 90.00
_cell_angle_beta 90.00
_cell_angle_gamma 90.00
loop_
_atom_site_label
_atom_site_type_symbol
_atom_site_fract_x
_atom_site_fract_y
_atom_site_fract_z
Sc1 Sc 0.000 0.000 0.000
Zn1 Zn 0.120 0.380 0.000
Ge1 Ge 0.180 0.680 0.500
```

## Properties
* E above lowest polymorph: 223 meV per atom
* mass density: 6.0 Mg/m³
* calculated volume: 17.8 A^3/atom

=====

No. 10
Computed, not measured: a relaxed ScZnGe3 crystal at the PBE-GGA level of DFT.

```
data_ScZnGe3
_symmetry_space_group_name_H-M 'P m -3 m'
_symmetry_Int_Tables_number 221
_symmetry_space_group_name_Hall '-P 4 2 3'
_cell_length_a 4.805
_cell_length_b 4.805
_cell_length_c 4.805
_cell_angle_alpha 90.00
_cell_angle_beta 90.00
_cell_angle_gamma 90.00
loop_
_atom_site_label
_atom_site_type_symbol
_atom_site_fract_x
_atom_site_fract_y
_atom_site_fract_z
Sc1 Sc 0.000 0.000 0.000
Zn1 Zn 0.500 0.500 0.500
Ge1 Ge 0.000 0.500 0.500
```

## Properties
* E above lowest polymorph: 0 meV per atom
* mass density: 4.9 Mg/m³
* calculated volume: 22.2 A^3/atom

=====

No. 11
Computed, not measured: a relaxed Sc2ZnGe crystal at the PBE-GGA level of DFT.

```
data_Sc2ZnGe
_symmetry_space_group_name_H-M 'I -4 2 d'
_symmetry_Int_Tables_number 122
_symmetry_space_group_name_Hall 'I -4 2bw'
_cell_length_a 7.314
_cell_length_b 7.314
_cell_length_c 6.277
_cell_angle_alpha 90.00
_cell_angle_beta 90.00
_cell_angle_gamma 90.00
loop_
_atom_site_label
_atom_site_type_symbol
_atom_site_fract_x
_atom_site_fract_y
_atom_site_fract_z
Sc1 Sc 0.245 0.250 0.125
Zn1 Zn 0.000 0.000 0.500
Ge1 Ge 0.000 0.000 0.000
```

## Properties
* mass density: 4.5 Mg/m³
* DFT total energy: -4.818 eV/atom
* calculated volume: 21.0 A^3/atom

=====

No. 12
Computed, not measured: a relaxed ScZn3Ge crystal at the PBE-GGA level of DFT.

```
data_ScZn3Ge
_symmetry_space_group_name_H-M 'P m -3 m'
_symmetry_Int_Tables_number 221
_symmetry_space_group_name_Hall '-P 4 2 3'
_cell_length_a 5.122
_cell_length_b 5.122
_cell_length_c 5.122
_cell_angle_alpha 90.00
_cell_angle_beta 90.00
_cell_angle_gamma 90.00
loop_
_atom_site_label
_atom_site_type_symbol
_atom_site_fract_x
_atom_site_fract_y
_atom_site_fract_z
Sc1 Sc 0.000 0.000 0.000
Zn1 Zn 0.000 0.000 0.500
Ge1 Ge 0.500 0.500 0.500
```

## Properties
* E above lowest polymorph: 547 meV per atom
* mass density: 3.9 Mg/m³
* calculated volume: 26.9 A^3/atom